Record 1
A plane-wave DFT calculation with PBE was carried out for an optimized crystal structure of Pr2YHo3Sb6.

The value obtained for the energy relative to the elements, uncorrected is -110.2 kJ/mol of atoms. The total energy is -0.4177 Ry per atom. The total magnetization comes out at 0.00 μB per atom.

The structure belongs to space group C2/m (No. 12); the cell edges are 19.332, 4.440 and 8.870 Å and the angles 90.00°, 103.20° and 90.00°. The asymmetric unit holds Pr at (0.166, 0.000, 0.332), Y at (0.000, 0.500, 0.000), Ho at (0.000, 0.500, 0.500), Ho at (0.168, 0.000, 0.834), Sb at (0.004, 0.000, 0.751), Sb at (0.164, 0.500, 0.590) and Sb at (0.166, 0.500, 0.075).

---

Record 2
A plane-wave DFT calculation with PBE was carried out for an optimized crystal structure of TlFeTc2.

The value obtained for the formation energy is 59.8 kJ per mole of atoms. Its excess energy over the best structure of this formula in the dataset is 201 meV per atom. The total energy is -0.5344 Ry per atom. The total magnetization comes out at 0.77 μB per atom.

The structure belongs to space group F-43m (No. 216); the cell edges are 6.333, 6.333 and 6.333 Å and the angles 90.00°, 90.00° and 90.00°. The asymmetric unit holds Tl at (0.000, 0.000, 0.000), Fe at (0.250, 0.250, 0.250), Tc at (0.000, 0.000, 0.500) and Tc at (0.250, 0.250, 0.750).